# 1
The following is a DFT calculation (PBE) of a relaxed LaPmAgPt crystal.

```
LaPmAgPt
1.0
4.794 0.000 0.000
0.000 1.982 5.496
0.000 -1.982 5.496
La Pm Ag Pt
1 1 1 1
Cartesian
0.000 0.000 0.000
2.397 0.000 3.025
2.397 0.000 6.135
0.000 0.000 7.973
```

Density of states at the Fermi level   3.3 states/eV per cell
Calculated total energy   -21.4 eV per cell
SG   Amm2 (38)
Magnetic moment   0.00 μB/f.u.
Excess energy over the best structure of this formula in the dataset   0.000 eV per atom
Volume   26.11 Å³/atom
ΔH_f (0 K)   -67.81 kJ/mol of atoms

***

# 2
The following is a DFT calculation (PBE) of a relaxed LaPmAgRh crystal.

```
LaPmAgRh
1.0
0.000 3.660 3.660
3.660 0.000 3.660
3.660 3.660 0.000
La Pm Ag Rh
1 1 1 1
Cartesian
0.000 0.000 0.000
3.660 3.660 3.660
5.490 5.490 5.490
1.830 1.830 1.830
```

Density of states at the Fermi level   4.2 states/eV per cell
Calculated total energy   -21.7 eV per cell
SG   F-43m (216)
Magnetic moment   0.00 μB/f.u.
Volume   24.51 Å³/atom
ΔH_f (0 K)   -43.40 kJ/mol of atoms